# 1
This record from the Alexandria database describes an optimized crystal structure of Fe2CoP. The functional is GGA-PBE.

Cell lengths 2.6867, 2.6867, 6.0390 Å; angles 90.00, 90.00, 90.00 degrees
With the nearest neighbours (Å) after each atom.
Sites, in units of the cell vectors:
1 Fe 0.0000 0.0000 0.0000  4 Co 2.57, 8 Fe 2.57-2.69
2 Fe 0.5000 0.5000 0.2866  4 P 2.27
3 Co 0.5000 0.5000 0.7143  4 P 2.33, 5 Fe 2.57-2.58
4 P 0.0000 0.0000 0.4909  4 Fe 2.27, 4 Co 2.33

Calculated values
The final energy comes out at -7.50 eV per atom. The spin magnetization comes out at 3.94 μB per cell. The value obtained for the formation energy is -0.55 eV/f.u. As for the space group: P4mm, No. 99.



# 2
This record from the Alexandria database describes an optimized crystal structure of LiB6C2. The functional is GGA-PBE.

Cell lengths 2.7000, 2.9009, 12.3322 Å; angles 90.80, 91.06, 101.20 degrees
With the nearest neighbours (Å) after each atom.
Sites, in units of the cell vectors:
1 Li 0.0000 0.0000 0.0000  6 B 2.00-2.22
2 B 0.0197 0.4169 0.1571  4 B 1.64-1.79
3 B 0.4214 0.0213 0.1570  5 B 1.70-1.87
4 B 0.4934 0.4991 0.9232  3 B 1.64-1.75
5 B 0.5066 0.5009 0.0768  3 B 1.64-1.75
6 B 0.5786 0.9787 0.8430  5 B 1.70-1.87
7 B 0.9803 0.5831 0.8429  4 B 1.64-1.79
8 C 0.2501 0.5000 0.5000  2 C 1.35
9 C 0.7499 0.5000 0.5000  2 C 1.35

Calculated values
The final energy comes out at -6.06 eV per atom. The spin magnetization comes out at 0.00 μB per cell. The value obtained for the formation energy is 5.89 eV/f.u. As for the space group: P-1, No. 2.



# 3
This record from the Alexandria database describes an optimized crystal structure of RbZrO2. The functional is GGA-PBE.

Cell lengths 6.8126, 6.8126, 6.8126 Å; angles 129.73, 129.73, 73.83 degrees
With the nearest neighbours (Å) after each atom.
Sites, in units of the cell vectors:
1 Rb 0.0000 0.0000 0.0000  4 O 3.12
2 Rb 0.7500 0.2500 0.5000  4 O 3.12
3 Zr 0.2500 0.7500 0.5000  4 O 2.05
4 Zr 0.5000 0.5000 0.0000  4 O 2.05
5 O 0.2912 0.6250 0.1662  2 Zr 2.05
6 O 0.3750 0.5412 0.6662  2 Zr 2.05
7 O 0.4588 0.1250 0.8338  2 Zr 2.05
8 O 0.8750 0.7088 0.3338  2 Zr 2.05

Calculated values
The formation energy without anion corrections is -8.8 eV/f.u. The final energy comes out at -7.07 eV per atom. The spin magnetization comes out at 0.00 μB per cell. As for the space group: I-42d, No. 122.



# 4
This record from the Alexandria database describes an optimized crystal structure of NaYO. The functional is GGA-PBE.

Cell lengths 6.7285, 6.7285, 6.2535 Å; angles 112.86, 112.86, 33.54 degrees
With the nearest neighbours (Å) after each atom.
Sites, in units of the cell vectors:
1 Na 0.0000 0.0000 0.0000  1 O 2.54
2 Na 0.7455 0.7455 0.3627  2 O 2.55
3 Y 0.2502 0.2502 0.8343  2 O 2.12-2.19
4 Y 0.4856 0.4856 0.5259  3 O 2.13-2.20
5 O 0.0648 0.0648 0.6671  3 Y 2.19-2.20
6 O 0.3468 0.3468 0.6290  2 Y 2.12-2.13

Calculated values
The formation energy without anion corrections is -5.0 eV/f.u. The final energy comes out at -5.93 eV per atom. The spin magnetization comes out at 0.00 μB per cell. The energy relative to the lowest polymorph listed for this composition comes out at 0.20 eV/f.u. As for the space group: Cm, No. 8.